(1)
PuNi2Ge | Alexandria via LeMat-Bulk | PBE | relaxed; ρ = 10.74 Mg/m³; formation energy = -0.258 eV/atom; total moment = 5.3 μB per formula unit
1.0
-3.187 -1.770 0.923
1.972 -2.520 1.974
-0.783 5.446 7.735
Ni Ge Pu
4 2 2
direct
0.500 0.000 0.913 Ni
0.000 0.000 0.500 Ni
0.000 0.500 0.087 Ni
0.500 0.500 0.500 Ni
0.000 0.500 0.349 Ge
0.500 0.000 0.651 Ge
0.000 0.500 0.798 Pu
0.500 0.000 0.202 Pu



(2)
PuNpGe2 | Alexandria via LeMat-Bulk | PBE | relaxed; ρ = 12.12 Mg/m³; formation energy = -0.284 eV/atom; total moment = 9.8 μB per formula unit
1.0
-2.101 2.434 -0.024
-1.234 -1.093 -2.761
-5.416 -4.634 4.255
Np Ge Pu
1 2 1
direct
0.500 0.500 0.000 Np
0.000 0.000 0.752 Ge
0.000 0.000 0.248 Ge
0.500 0.500 0.500 Pu